MnTlCl2F after structural relaxation. Source: Alexandria via LeMat-Bulk, functional PBE+U.

Computed properties:
Its calculated total energy is -4.6729 eV per atom. For the total magnetic moment, the calculation gives 5.000 μB per formula unit. The density of states at the Fermi level comes out at 0.0 states/eV/cell.

abc: 5.262 5.262 4.138
angles: 90.00 90.00 90.00
Space group P4/mmm (No. 123)
Symmetry-distinct sites (fractional):
Mn (0.000, 0.000, 0.000)
Tl (0.500, 0.500, 0.500)
Cl (0.000, 0.500, 0.000)
F (0.000, 0.000, 0.500)